A geometry-optimized Pr6Pd2I3Cl structure, computed with PBE-GGA.

Computed properties:
As for the space group: C2/m, No. 12. The value obtained for the total energy is -56.95 eV for the cell shown. The value obtained for the uncorrected formation energy is -0.949 eV per atom.

a = 7.542 Å, b = 7.542 Å, c = 8.202 Å
α = 98.75°, β = 98.75°, γ = 119.90°
Atoms (fractional coordinates):
Cl: 0.000 0.000 0.000
I: 0.839 0.161 0.500
I: 0.161 0.839 0.500
I: 0.500 0.500 0.500
Pr: 0.067 0.420 0.197
Pr: 0.289 0.289 0.806
Pr: 0.933 0.580 0.803
Pr: 0.420 0.067 0.197
Pr: 0.580 0.933 0.803
Pr: 0.711 0.711 0.194
Pd: 0.667 0.333 0.000
Pd: 0.333 0.667 0.000



A geometry-optimized Mg5HIr4 structure, computed with PBE-GGA.

Computed properties:
As for the space group: P1, No. 1. The value obtained for the total energy is -49.13 eV for the cell shown.

a = 5.247 Å, b = 4.478 Å, c = 7.543 Å
α = 89.95°, β = 95.40°, γ = 115.20°
Atoms (fractional coordinates):
Mg: 0.766 0.642 0.248
Mg: 0.773 0.146 0.965
Mg: 0.174 0.346 0.323
Mg: 0.628 0.574 0.637
Mg: 0.260 0.891 0.694
Ir: 0.959 0.240 0.640
Ir: 0.563 0.041 0.390
Ir: 0.261 0.890 0.094
Ir: 0.341 0.431 0.933
H: 0.694 0.607 0.967